# DyNbSe4

A relaxed DyNbSe4 crystal (PBE, Alexandria via LeMat-Bulk).

```
data_DyNbSe4
_chemical_formula_sum 'Dy2 Nb2 Se8'
_cell_length_a 6.721
_cell_length_b 6.688
_cell_length_c 6.709
_cell_angle_alpha 90.00
_cell_angle_beta 96.71
_cell_angle_gamma 90.00
_space_group_name_H-M_alt 'P 1 21/c 1'
_space_group_IT_number 14
loop_
_space_group_symop_operation_xyz
'x,y,z'
'-x,-y,-z'
'-x,y+1/2,-z+1/2'
'x,-y+1/2,z+1/2'
loop_
_atom_site_label
_atom_site_fract_x
_atom_site_fract_y
_atom_site_fract_z
Dy1 0.000 0.000 0.000
Nb1 0.500 0.000 0.500
Se1 0.154 0.134 0.389
Se2 0.378 0.653 0.328
```

Output
**Formation energy (no corrections)**: -936 meV/atom